A relaxed structure of SmCuAg2Se4, computed with PBE.

## Properties
**Crystal system**: orthorhombic
**Energy relative to the elements, uncorrected**: -0.560 eV per atom
**Raw total energy**: -4.12 eV per atom

Unit cell a=4.0444 b=7.2027 c=13.0035 alpha=90.00 beta=90.00 gamma=106.31
With the nearest neighbours (Å) after each atom.
Element x y z (fractional)
Se 0.5668 0.1335 0.2500  2 Cu 2.46, 2 Ag 2.63
Se 0.3025 0.6050 0.3729  1 Cu 2.45, 1 Ag 2.60
Se 0.0000 0.0000 0.0000  4 Ag 2.79
Se 0.6975 0.3950 0.6271  1 Cu 2.45, 1 Ag 2.60
Se 0.3025 0.6050 0.1271  1 Cu 2.45, 1 Ag 2.60
Se 0.4332 0.8665 0.7500  2 Cu 2.46, 2 Ag 2.63
Se 0.6975 0.3950 0.8729  1 Cu 2.45, 1 Ag 2.60
Se 0.0000 0.0000 0.5000  4 Ag 2.79
Ag 0.3727 0.7454 0.5583  4 Se 2.60-2.79
Ag 0.3727 0.7454 0.9417  4 Se 2.60-2.79
Ag 0.6273 0.2546 0.4417  4 Se 2.60-2.79
Ag 0.6273 0.2546 0.0583  4 Se 2.60-2.79
Cu 0.1684 0.3368 0.2500  4 Se 2.45-2.46
Cu 0.8316 0.6632 0.7500  4 Se 2.45-2.46
Sm 0.0923 0.1847 0.7500  6 Se 2.96-2.99
Sm 0.9077 0.8153 0.2500  6 Se 2.96-2.99



A relaxed structure of SmCuAgSe3, computed with PBE.

## Properties
**Crystal system**: monoclinic
**Energy relative to the elements, uncorrected**: -0.756 eV per atom
**Raw total energy**: -4.44 eV per atom

Unit cell a=4.0234 b=8.2068 c=8.5250 alpha=98.90 beta=90.00 gamma=90.00
With the nearest neighbours (Å) after each atom.
Element x y z (fractional)
Sm 0.7500 0.8242 0.7686  7 Se 2.92-3.11, 1 Cu 3.20
Sm 0.2500 0.1758 0.2314  7 Se 2.92-3.11, 1 Cu 3.20
Se 0.2500 0.5841 0.8321  3 Ag 2.68-2.85, 2 Sm 2.92
Se 0.7500 0.2329 0.5125  3 Cu 2.51-2.53
Se 0.2500 0.0878 0.8680  1 Cu 2.45
Se 0.7500 0.4159 0.1679  3 Ag 2.68-2.85, 2 Sm 2.92
Se 0.2500 0.7671 0.4875  3 Cu 2.51-2.53
Se 0.7500 0.9122 0.1320  1 Cu 2.45
Cu 0.7500 0.9252 0.4208  4 Se 2.45-2.53, 2 Cu 2.62
Cu 0.2500 0.0748 0.5792  4 Se 2.45-2.53, 2 Cu 2.62
Ag 0.7500 0.3417 0.8499  6 Se 2.68-2.92
Ag 0.2500 0.6583 0.1501  6 Se 2.68-2.92



A relaxed structure of CuAgSnSe3, computed with PBE.

## Properties
**Crystal system**: orthorhombic
**Energy relative to the elements, uncorrected**: -0.116 eV per atom
**Raw total energy**: -3.68 eV per atom

Unit cell a=3.8017 b=7.2679 c=9.8292 alpha=90.00 beta=90.00 gamma=105.16
With the nearest neighbours (Å) after each atom.
Element x y z (fractional)
Sn 0.7613 0.5225 0.7500  6 Se 2.89-3.12
Sn 0.2387 0.4775 0.2500  6 Se 2.89-3.12
Se 0.6487 0.2974 0.0697  1 Cu 2.47
Se 0.9152 0.8304 0.2500  2 Cu 2.46, 2 Ag 2.73
Se 0.6487 0.2974 0.4303  1 Cu 2.47
Se 0.3513 0.7026 0.5697  1 Cu 2.47
Se 0.3513 0.7026 0.9303  1 Cu 2.47
Se 0.0848 0.1696 0.7500  2 Cu 2.46, 2 Ag 2.73
Ag 0.0000 0.0000 0.5000  6 Se 2.73-2.90
Ag 0.0000 0.0000 0.0000  6 Se 2.73-2.90
Cu 0.5263 0.0526 0.2500  4 Se 2.46-2.47
Cu 0.4737 0.9474 0.7500  4 Se 2.46-2.47



Number 1: V 22.72 Å³/atom. Number 2: V 23.18 Å³/atom. Number 3: V 21.84 Å³/atom.